Entry 1:
Here is Sm2MnHO6 after structural relaxation from Alexandria. Energies are from PBE with a Hubbard U.

```
Sm2MnHO6
1.0
4.8101 -2.4218 0.0000
4.8101 2.4218 0.0000
-2.7404 0.0000 4.6325
Sm Mn H O
2 1 1 6
Cartesian
1.6537 0.0000 1.0456 Sm
5.2260 0.0000 3.5870 Sm
-1.3702 0.0000 2.3163 Mn
4.8101 0.0000 0.0000 H
3.8367 1.1617 0.8982 O
0.4128 0.0000 2.9611 O
3.0431 1.1617 3.7343 O
3.8367 -1.1617 0.8982 O
6.4670 0.0000 1.6714 O
3.0431 -1.1617 3.7343 O
```

Uncorrected energy = -6.9380 eV per atom
SG = C2/m
Theoretical density = 7.0 g/cm³
Calculated volume = 10.8 A^3/atom
Crystal system = monoclinic
DOS(E_F) = 0.2108 states/eV per atom



Entry 2:
Here is Sr2MnH2O2 after structural relaxation from Alexandria. Energies are from PBE with a Hubbard U.

```
Sr2MnH2O2
1.0
3.7380 0.0000 0.0000
0.0000 3.7380 0.0000
0.0000 0.0000 12.8823
Sr Mn H O
4 2 4 4
Cartesian
0.0000 0.0000 1.8984 Sr
0.0000 0.0000 10.9839 Sr
1.8690 1.8690 4.5428 Sr
1.8690 1.8690 8.3395 Sr
0.0000 0.0000 6.4411 Mn
1.8690 1.8690 0.0000 Mn
0.0000 1.8690 0.0000 H
0.0000 1.8690 6.4411 H
1.8690 0.0000 0.0000 H
1.8690 0.0000 6.4411 H
0.0000 0.0000 4.4214 O
0.0000 0.0000 8.4609 O
1.8690 1.8690 2.0198 O
1.8690 1.8690 10.8625 O
```

Uncorrected energy = -5.3552 eV per atom
SG = I4/mmm
Theoretical density = 4.9 g/cm³
Calculated volume = 12.9 A^3/atom
Crystal system = tetragonal
DOS(E_F) = 0.0186 states/eV per atom